(1)
LuFeW after structural relaxation. Source: the Open Quantum Materials Database, functional GGA-PBE.

```
3
Lattice="3.2184 0.3128 2.8643 -0.8427 1.1441 4.0793 0.3551 -2.9067 3.1757" Properties=species:S:1:pos:R:3 pbc="T T T"
W 0.0000 0.0000 0.0000
Lu 2.0482 -1.0873 7.5895
Fe 0.6827 -0.3624 2.5298
```

Values from the calculation:
Total energy: -7.60 eV/atom
Formation energy: 0.9961 eV/atom
Polymorph energy (0 for the lowest one): 0.0 meV/atom
Space group: F-43m (216)

***

(2)
YLu2Fe after structural relaxation. Source: the Open Quantum Materials Database, functional GGA-PBE.

```
4
Lattice="0.0000 3.5807 3.5807 3.5807 0.0000 3.5807 3.5807 3.5807 0.0000" Properties=species:S:1:pos:R:3 pbc="T T T"
Fe 1.7903 1.7903 1.7903
Lu 0.0000 0.0000 0.0000
Y 3.5807 3.5807 3.5807
Lu 5.3710 5.3710 5.3710
```

Values from the calculation:
Total energy: -5.60 eV/atom
Formation energy: 0.3552 eV/atom
Polymorph energy (0 for the lowest one): 0.0 meV/atom
Space group: F-43m (216)

***

(3)
Y2LuFe9 after structural relaxation. Source: the Open Quantum Materials Database, functional GGA-PBE.

```
12
Lattice="2.5172 1.4533 8.0541 -2.5172 1.4533 8.0541 0.0000 -2.9066 8.0541" Properties=species:S:1:pos:R:3 pbc="T T T"
Y 0.0000 0.0000 20.7416
Fe 0.0000 1.4528 10.0019
Fe 1.2581 0.7264 14.1603
Fe -1.2581 -0.7264 10.0019
Fe 0.0000 0.0000 12.0811
Fe 0.0000 0.0000 16.1239
Fe 0.0000 0.0000 8.0384
Fe -1.2581 0.7264 14.1603
Fe 1.2581 -0.7264 10.0019
Y 0.0000 0.0000 3.4207
Fe 0.0000 -1.4528 14.1604
Lu 0.0000 0.0000 0.0000
```

Values from the calculation:
Total energy: -7.76 eV/atom
Formation energy: -0.0752 eV/atom
Space group: R-3m (166)

***

(4)
YLuZnFe after structural relaxation. Source: the Open Quantum Materials Database, functional GGA-PBE.

```
4
Lattice="0.7823 -1.4427 4.4950 -3.3977 0.5693 3.3212 -2.3200 -3.8121 1.7274" Properties=species:S:1:pos:R:3 pbc="T T T"
Lu -2.4677 -2.3428 4.7718
Fe -3.7015 -3.5141 7.1577
Y -1.2338 -1.1714 2.3859
Zn 0.0000 0.0000 0.0000
```

Values from the calculation:
Total energy: -4.96 eV/atom
Formation energy: 0.1803 eV/atom
Polymorph energy (0 for the lowest one): 0.0 meV/atom
Space group: F-43m (216)

***

(5)
LuZn2Fe after structural relaxation. Source: the Open Quantum Materials Database, functional GGA-PBE.

```
4
Lattice="1.3009 -3.7019 -2.2973 1.4462 -3.6786 2.2472 -2.5616 -3.7552 0.1011" Properties=species:S:1:pos:R:3 pbc="T T T"
Lu 0.0464 -2.7839 0.0127
Zn 0.0928 -5.5679 0.0255
Fe 0.1391 -8.3518 0.0382
Zn 0.0000 0.0000 0.0000
```

Values from the calculation:
Total energy: -3.89 eV/atom
Formation energy: -0.0519 eV/atom
Space group: Fm-3m (225)

***

(6)
LuZn2Fe after structural relaxation. Source: the Open Quantum Materials Database, functional GGA-PBE.

```
4
Lattice="0.9368 -3.7846 -2.3341 -3.1786 -1.8832 -2.6456 0.4181 0.1643 -4.5218" Properties=species:S:1:pos:R:3 pbc="T T T"
Zn -0.4559 -1.3759 -2.3754
Zn 0.0000 0.0000 0.0000
Lu -0.9118 -2.7517 -4.7507
Fe -1.3677 -4.1276 -7.1261
```

Values from the calculation:
Total energy: -3.79 eV/atom
Formation energy: 0.0476 eV/atom
Space group: F-43m (216)

***

(7)
Lu2ZnFe after structural relaxation. Source: the Open Quantum Materials Database, functional GGA-PBE.

```
4
Lattice="0.0000 3.3434 3.3434 3.3434 0.0000 3.3434 3.3434 3.3434 0.0000" Properties=species:S:1:pos:R:3 pbc="T T T"
Fe 5.0150 5.0150 5.0150
Lu 0.0000 0.0000 0.0000
Lu 1.6717 1.6717 1.6717
Zn 3.3434 3.3434 3.3434
```

Values from the calculation:
Total energy: -4.48 eV/atom
Formation energy: 0.1733 eV/atom
Space group: F-43m (216)

***

(8)
LuZnFe after structural relaxation. Source: the Open Quantum Materials Database, functional GGA-PBE.

```
3
Lattice="0.0000 3.1305 3.1305 3.1305 0.0000 3.1305 3.1305 3.1305 0.0000" Properties=species:S:1:pos:R:3 pbc="T T T"
Zn 4.6957 4.6957 4.6957
Lu 0.0000 0.0000 0.0000
Fe 1.5652 1.5652 1.5652
```

Values from the calculation:
Total energy: -3.91 eV/atom
Formation energy: 0.7846 eV/atom
Space group: F-43m (216)

***

(9)
LuZrZnFe after structural relaxation. Source: the Open Quantum Materials Database, functional GGA-PBE.

```
4
Lattice="0.0000 3.2811 3.2811 3.2811 0.0000 3.2811 3.2811 3.2811 0.0000" Properties=species:S:1:pos:R:3 pbc="T T T"
Zr 3.2811 3.2811 3.2811
Lu 1.6406 1.6406 1.6406
Fe 4.9217 4.9217 4.9217
Zn 0.0000 0.0000 0.0000
```

Values from the calculation:
Total energy: -5.56 eV/atom
Formation energy: 0.0992 eV/atom
Polymorph energy (0 for the lowest one): 0.0 meV/atom
Space group: F-43m (216)

***

(10)
Lu2ZrFe after structural relaxation. Source: the Open Quantum Materials Database, functional GGA-PBE.

```
4
Lattice="4.3182 2.3328 -0.2214 0.7435 4.0514 2.6778 3.0581 -0.1225 3.8432" Properties=species:S:1:pos:R:3 pbc="T T T"
Lu 0.0000 0.0000 0.0000
Lu 6.0898 4.6963 4.7247
Fe 2.0299 1.5654 1.5749
Zr 4.0599 3.1309 3.1498
```

Values from the calculation:
Total energy: -6.16 eV/atom
Formation energy: 0.3146 eV/atom
Space group: F-43m (216)

***

(11)
Mg2Fe after structural relaxation. Source: the Open Quantum Materials Database, functional GGA-PBE.

```
6
Lattice="1.2274 0.0729 8.4329 7.8668 0.8916 3.1533 2.2250 7.2326 3.9197" Properties=species:S:1:pos:R:3 pbc="T T T"
Mg 8.1781 3.5197 7.3914
Mg 4.2447 3.0739 5.8147
Fe 2.8298 2.0493 3.8765
Fe 5.6596 4.0985 7.7529
Mg 5.3572 6.6902 7.7745
Mg 4.8584 3.1103 10.0311
```

Values from the calculation:
Total energy: -2.19 eV/atom
Space group: Fd-3m (227)

***

(12)
Mg2Fe after structural relaxation. Source: the Open Quantum Materials Database, functional GGA-PBE.

```
12
Lattice="-3.9086 3.5848 1.6939 1.3753 -4.3390 3.2062 5.8754 4.6338 3.7507" Properties=species:S:1:pos:R:3 pbc="T T T"
Mg 1.4221 5.6742 4.7715
Mg 0.0000 0.0000 0.0000
Fe 3.1717 1.1082 4.9733
Fe 0.1703 2.7714 3.6775
Mg 3.2797 3.9705 3.9664
Mg 1.2663 0.2676 2.3556
Mg 2.9377 2.3169 1.8754
Fe -1.5273 1.4326 2.5938
Mg 0.0623 -0.0908 4.6844
Fe 4.8693 2.4471 6.0570
Mg 2.0757 3.6121 6.2952
Mg 1.9199 -1.7945 3.8794
```

Values from the calculation:
Total energy: -3.21 eV/atom
Space group: P6_3/mmc (194)

***

(13)
Mg2Fe after structural relaxation. Source: the Open Quantum Materials Database, functional GGA-PBE.

```
24
Lattice="-3.2795 -11.4639 5.0395 5.9268 -4.3895 2.3985 -0.2759 1.9366 4.2257" Properties=species:S:1:pos:R:3 pbc="T T T"
Fe -2.8833 -9.0162 6.5093
Fe 1.2725 -3.1641 4.0987
Mg 4.3202 -8.9611 4.3887
Mg -0.3054 -9.7375 7.0082
Mg 4.1166 -3.6765 4.5192
Mg 4.5842 -6.4506 5.8211
Fe -0.5286 -4.6158 4.6464
Mg -0.6219 -12.2345 5.5662
Mg -0.4615 -7.2342 5.8507
Mg 1.6291 -10.5913 4.9601
Fe 0.9670 -5.3026 2.4932
Mg 2.4083 -8.1797 6.4714
Fe -1.4054 -9.6815 4.3451
Fe 2.7187 -15.5184 7.2892
Mg 3.1546 -3.5342 1.8256
Mg -1.3936 -7.0677 3.1480
Fe 1.6950 -5.2761 5.0942
Mg 0.7998 -0.1222 2.6738
Fe 2.3025 -13.4140 6.2977
Mg 2.6741 -10.9369 7.7524
Mg 0.5389 -2.7269 1.2849
Mg 0.4135 -12.5398 8.3393
Mg 1.3994 -7.7961 3.6642
Mg 3.5998 -6.1267 3.0428
```

Values from the calculation:
Total energy: -3.60 eV/atom
Space group: Pm (6)

***

(14)
Mg2Fe after structural relaxation. Source: the Open Quantum Materials Database, functional GGA-PBE.

```
12
Lattice="15.7713 0.0000 0.0000 0.0000 2.8691 0.0000 0.0000 0.0000 4.5815" Properties=species:S:1:pos:R:3 pbc="T T T"
Mg 8.1362 1.4346 0.0000
Mg 0.2505 0.0000 0.0000
Fe 2.7960 1.4346 0.0000
Mg 14.6446 1.4346 2.2907
Mg 5.0286 0.0000 0.0000
Mg 12.9143 1.4346 0.0000
Fe 12.0991 0.0000 2.2907
Mg 6.7589 0.0000 2.2907
Mg 1.9808 0.0000 2.2907
Fe 4.2134 1.4346 2.2907
Fe 10.6816 0.0000 0.0000
Mg 9.8664 1.4346 2.2907
```

Values from the calculation:
Total energy: -3.61 eV/atom
Space group: Cmcm (63)

***

(15)
Mg3Fe after structural relaxation. Source: the Open Quantum Materials Database, functional GGA-PBE.

```
8
Lattice="5.2041 0.0000 0.0000 0.0000 5.8689 0.0000 0.0000 0.0000 4.7903" Properties=species:S:1:pos:R:3 pbc="T T T"
Mg 0.1432 2.9344 0.0000
Mg 2.5886 4.4161 0.0000
Mg 4.3502 1.4817 2.3952
Fe 5.1739 0.0000 0.0000
Fe 1.7649 2.9344 2.3952
Mg 4.3502 4.3872 2.3952
Mg 2.5886 1.4528 0.0000
Mg 1.5915 0.0000 2.3952
```

Values from the calculation:
Total energy: -3.00 eV/atom
Space group: Pmmn (59)

***

(16)
Mg3Fe after structural relaxation. Source: the Open Quantum Materials Database, functional GGA-PBE.

```
8
Lattice="5.1361 -2.9654 0.0000 0.0798 6.0690 0.0000 0.0000 0.0000 4.6764" Properties=species:S:1:pos:R:3 pbc="T T T"
Mg 1.6803 3.0630 2.3382
Fe 5.0609 -0.1302 0.0000
Mg 5.0888 -2.8946 0.0000
Mg 2.6014 1.5404 0.0000
Mg 2.6530 -1.4883 0.0000
Mg 1.7319 0.0343 2.3382
Mg 4.3806 1.5039 2.3382
Fe 4.4084 -1.2605 2.3382
```

Values from the calculation:
Total energy: -3.03 eV/atom
Space group: Cmcm (63)

***

(17)
Mg3Fe2 after structural relaxation. Source: the Open Quantum Materials Database, functional GGA-PBE.

```
20
Lattice="-6.2083 2.8998 0.4352 -0.5174 -2.0864 6.5208 2.8862 5.8634 2.1051" Properties=species:S:1:pos:R:3 pbc="T T T"
Mg 1.9386 4.5624 2.5173
Fe -0.6881 1.1967 1.6240
Fe 0.3187 0.7833 6.9936
Fe -4.5212 2.8437 5.4615
Mg -0.8490 3.8836 2.6314
Fe -2.1915 3.8109 5.1717
Mg -2.3936 1.2341 6.5306
Mg -3.0431 3.7136 7.8250
Mg -3.0183 1.9894 3.1080
Fe -5.7868 2.2140 3.3523
Mg -4.2057 5.5677 5.9661
Fe -0.0195 6.5455 2.6043
Mg -1.0490 -1.0189 5.3639
Mg -0.4520 1.6384 4.4541
Fe -2.0139 6.1129 4.1150
Mg -4.2838 4.5613 3.2780
Fe -0.4557 3.2003 6.9215
Mg -4.6221 2.9472 0.9274
Mg -1.4971 5.9275 6.8487
Mg 0.4383 5.0544 4.9155
```

Values from the calculation:
Total energy: -4.11 eV/atom
Polymorph energy (0 for the lowest one): 0.0 meV/atom
Space group: P4_132 (213)

***

(18)
Mg3Fe after structural relaxation. Source: the Open Quantum Materials Database, functional GGA-PBE.

```
8
Lattice="-5.7375 -1.4542 0.0536 3.4446 -1.7093 -4.4999 1.0464 -4.0426 2.3366" Properties=species:S:1:pos:R:3 pbc="T T T"
Mg 1.6695 -0.8850 -2.2788
Mg -1.0861 -1.5834 -2.2531
Mg 0.5683 -2.4044 -4.4144
Mg -0.7624 -2.7605 0.4651
Mg -3.7446 -3.5163 0.4930
Fe 0.0000 0.0000 0.0000
Mg -1.9542 -4.4047 -1.8459
Fe 0.9069 -3.6455 -1.8137
```

Values from the calculation:
Total energy: -3.02 eV/atom
Space group: P6_3/mmc (194)

***

(19)
Mg2Fe after structural relaxation. Source: the Open Quantum Materials Database, functional GGA-PBE.

```
12
Lattice="-0.8940 0.0386 -4.3161 -10.6033 -1.7788 2.1803 -0.6659 4.1842 0.1753" Properties=species:S:1:pos:R:3 pbc="T T T"
Mg -0.7739 2.0968 -1.6989
Fe -1.0274 0.0005 -3.9127
Fe -7.6800 -1.1156 -2.5447
Mg -9.9887 0.6452 -2.0529
Mg -9.2084 -1.4662 0.0194
Fe -2.7117 1.8659 -3.5491
Fe -6.6623 1.2032 -2.7367
Mg -2.0712 -0.2690 -1.4468
Mg -4.2400 1.5153 -0.9847
Mg -7.7067 0.9338 -0.2733
Mg -5.7417 -0.8847 -0.6920
Mg -4.3537 -0.5575 -3.2285
```

Values from the calculation:
Total energy: -3.58 eV/atom
Space group: Cmmm (65)

***

(20)
Mg2Fe after structural relaxation. Source: the Open Quantum Materials Database, functional GGA-PBE.

```
6
Lattice="0.0000 3.8295 3.8295 3.8295 0.0000 3.8295 3.8295 3.8295 0.0000" Properties=species:S:1:pos:R:3 pbc="T T T"
Mg 4.7869 4.7869 4.7869
Fe 1.9148 1.9148 1.9148
Fe 0.0000 0.0000 0.0000
Mg 2.8722 4.7869 2.8722
Mg 2.8722 2.8722 4.7869
Mg 4.7869 2.8722 2.8722
```

Values from the calculation:
Total energy: -3.18 eV/atom
Space group: Fd-3m (227)

***

(21)
MgFe2 after structural relaxation. Source: the Open Quantum Materials Database, functional GGA-PBE.

```
6
Lattice="-0.1582 4.4486 -1.9030 -4.4083 -0.9174 -1.7781 -1.9397 1.6288 3.9687" Properties=species:S:1:pos:R:3 pbc="T T T"
Fe -1.5805 1.2221 -1.2740
Fe -4.7241 0.7228 0.1870
Fe -1.7821 4.4372 0.1005
Mg -3.2531 2.5800 0.1438
Fe -2.9861 2.3091 -2.4071
Mg 0.0000 0.0000 0.0000
```

Values from the calculation:
Total energy: -4.79 eV/atom
Space group: P4_2/mnm (136)

***

(22)
Mg3Fe2 after structural relaxation. Source: the Open Quantum Materials Database, functional GGA-PBE.

```
10
Lattice="4.9838 -2.6953 0.4110 -0.9656 3.5398 -4.3369 4.2750 2.6729 4.9505" Properties=species:S:1:pos:R:3 pbc="T T T"
Mg 2.0772 0.8650 0.2738
Fe 7.0888 1.6688 3.5044
Fe 1.2043 1.8486 -2.4798
Mg 6.2159 2.6525 0.7508
Fe 1.9767 3.4499 -1.3448
Mg 3.7116 3.9823 0.5789
Mg 4.0621 1.3126 -1.7085
Mg 4.2310 2.2048 2.7330
Fe 6.3164 0.0675 2.3694
Mg 4.5815 -0.4649 0.4457
```

Values from the calculation:
Total energy: -3.87 eV/atom
Polymorph energy (0 for the lowest one): 238.9 meV/atom
Space group: R-3c (167)

***

(23)
Mg2Fe after structural relaxation. Source: the Open Quantum Materials Database, functional GGA-PBE.

```
12
Lattice="14.8312 0.0000 0.0000 0.0000 2.8699 0.0000 0.0000 0.0000 4.7507" Properties=species:S:1:pos:R:3 pbc="T T T"
Mg 2.5035 1.4350 0.0000
Mg 6.6477 0.0000 2.3753
Mg 11.5037 0.0000 2.3753
Mg 7.3594 1.4350 0.0000
Mg 14.0633 1.4350 2.3753
Fe 4.9384 0.0000 0.0000
Fe 1.6532 0.0000 2.3753
Mg 4.0882 1.4350 2.3753
Fe 9.0688 1.4350 2.3753
Mg 9.9190 0.0000 0.0000
Fe 12.3540 1.4350 0.0000
Mg 14.7751 0.0000 0.0000
```

Values from the calculation:
Total energy: -3.52 eV/atom
Space group: Cmcm (63)

***

(24)
Mg5Fe after structural relaxation. Source: the Open Quantum Materials Database, functional GGA-PBE.

```
6
Lattice="-2.5308 -4.6586 0.0209 1.7088 -3.8810 3.1821 -2.9367 1.6113 3.5423" Properties=species:S:1:pos:R:3 pbc="T T T"
Mg -0.5494 -5.6943 2.1348
Mg -0.9305 -0.4159 2.7727
Mg -0.2752 -2.8457 1.0663
Mg -3.2026 -2.3866 1.7855
Mg -1.0936 -3.3200 3.9585
Fe -2.5284 -4.6581 0.0227
```

Values from the calculation:
Total energy: -2.49 eV/atom
Space group: Amm2 (38)